[1]
Density functional theory data (PBE-GGA) for crystalline K2SrAl at its relaxed geometry.

Geometry as CIF:
```
data_K2SrAl
_cell_length_a 4.1509
_cell_length_b 4.1509
_cell_length_c 39.6454
_cell_angle_alpha 90.00
_cell_angle_beta 90.00
_cell_angle_gamma 120.00
_space_group_name_H-M_alt 'R -3 m'
_space_group_IT_number 166
_space_group_name_Hall '-R 3 2"'
loop_
_atom_site_label
_atom_site_type_symbol
_atom_site_fract_x
_atom_site_fract_y
_atom_site_fract_z
K1 K 0.0000 0.0000 0.2343
Sr1 Sr 0.0000 0.0000 0.0000
Al1 Al 0.0000 0.0000 0.5000
```

Calculated values
Density (g/cm3): 1.624
Total moment (μB/f.u.): 0.0
ΔH_f (0 K) (meV per atom): 379
Total DFT energy (no corrections) (eV per atom): -1.526

[2]
Density functional theory data (PBE-GGA) for crystalline KSrAl at its relaxed geometry.

Geometry as CIF:
```
data_KSrAl
_cell_length_a 8.1908
_cell_length_b 8.1908
_cell_length_c 8.1908
_cell_angle_alpha 90.00
_cell_angle_beta 90.00
_cell_angle_gamma 90.00
_space_group_name_H-M_alt 'F -4 3 m'
_space_group_IT_number 216
_space_group_name_Hall 'F -4 2 3'
loop_
_atom_site_label
_atom_site_type_symbol
_atom_site_fract_x
_atom_site_fract_y
_atom_site_fract_z
K1 K 0.0000 0.0000 0.0000
Sr1 Sr 0.0000 0.0000 0.5000
Al1 Al 0.2500 0.2500 0.7500
```

Calculated values
Density (g/cm3): 1.858
Total moment (μB/f.u.): 1.5
ΔH_f (0 K) (meV per atom): 304
Total DFT energy (no corrections) (eV per atom): -1.870
Energy relative to the lowest polymorph listed for this composition (eV/atom): 0.3724

[3]
Density functional theory data (PBE-GGA) for crystalline KSrAl3 at its relaxed geometry.

Geometry as CIF:
```
data_KSrAl3
_cell_length_a 6.0631
_cell_length_b 6.0631
_cell_length_c 6.0631
_cell_angle_alpha 90.00
_cell_angle_beta 90.00
_cell_angle_gamma 90.00
_space_group_name_H-M_alt 'P m -3 m'
_space_group_IT_number 221
_space_group_name_Hall '-P 4 2 3'
loop_
_atom_site_label
_atom_site_type_symbol
_atom_site_fract_x
_atom_site_fract_y
_atom_site_fract_z
K1 K 0.0000 0.0000 0.0000
Sr1 Sr 0.5000 0.5000 0.5000
Al1 Al 0.0000 0.5000 0.5000
```

Calculated values
Density (g/cm3): 1.547
Total moment (μB/f.u.): 0.0
ΔH_f (0 K) (meV per atom): 944
Total DFT energy (no corrections) (eV per atom): -1.858
Energy relative to the lowest polymorph listed for this composition (eV/atom): 0.0000

[4]
Density functional theory data (PBE-GGA) for crystalline K2SrAl at its relaxed geometry.

Geometry as CIF:
```
data_K2SrAl
_cell_length_a 4.1379
_cell_length_b 4.1464
_cell_length_c 11.4537
_cell_angle_alpha 90.00
_cell_angle_beta 90.11
_cell_angle_gamma 90.00
_space_group_name_H-M_alt 'P 1 m 1'
_space_group_IT_number 6
loop_
_space_group_symop_operation_xyz
'x,y,z'
'x,-y,z'
loop_
_atom_site_label
_atom_site_type_symbol
_atom_site_fract_x
_atom_site_fract_y
_atom_site_fract_z
K1 K 0.0000 0.0000 0.0000
K2 K 0.4917 0.5000 0.3479
Sr1 Sr 0.9962 0.0000 0.6544
Al1 Al 0.4975 0.5000 0.7956
```

Calculated values
Density (g/cm3): 1.629
Total moment (μB/f.u.): 0.0
ΔH_f (0 K) (meV per atom): 116
Total DFT energy (no corrections) (eV per atom): -1.789

[5]
Density functional theory data (PBE-GGA) for crystalline K2SrAl at its relaxed geometry.

Geometry as CIF:
```
data_K2SrAl
_cell_length_a 11.9269
_cell_length_b 4.3980
_cell_length_c 8.3796
_cell_angle_alpha 90.00
_cell_angle_beta 112.73
_cell_angle_gamma 90.00
_space_group_name_H-M_alt 'C 1 m 1'
_space_group_IT_number 8
loop_
_space_group_symop_operation_xyz
'x,y,z'
'x,-y,z'
'x+1/2,y+1/2,z'
'x+1/2,-y+1/2,z'
loop_
_atom_site_label
_atom_site_type_symbol
_atom_site_fract_x
_atom_site_fract_y
_atom_site_fract_z
K1 K 0.0000 0.0000 0.0000
K2 K 0.1865 0.0000 0.6954
Sr1 Sr 0.3162 0.5000 0.3431
Al1 Al 0.0303 0.5000 0.3454
```

Calculated values
Density (g/cm3): 1.579
Total moment (μB/f.u.): 0.0
ΔH_f (0 K) (meV per atom): 215
Total DFT energy (no corrections) (eV per atom): -1.690

[6]
Density functional theory data (PBE-GGA) for crystalline KSr2Al2 at its relaxed geometry.

Geometry as CIF:
```
data_KSr2Al2
_cell_length_a 9.6675
_cell_length_b 9.6675
_cell_length_c 3.7807
_cell_angle_alpha 90.00
_cell_angle_beta 90.00
_cell_angle_gamma 90.00
_space_group_name_H-M_alt 'P 4/m b m'
_space_group_IT_number 127
_space_group_name_Hall '-P 4 2ab'
loop_
_atom_site_label
_atom_site_type_symbol
_atom_site_fract_x
_atom_site_fract_y
_atom_site_fract_z
K1 K 0.0000 0.0000 0.0000
Sr1 Sr 0.1434 0.3566 0.0000
Al1 Al 0.1496 0.6496 0.5000
```

Calculated values
Density (g/cm3): 2.522
Total moment (μB/f.u.): 0.0
ΔH_f (0 K) (meV per atom): 88
Total DFT energy (no corrections) (eV per atom): -2.301
Energy relative to the lowest polymorph listed for this composition (eV/atom): 0.0769

[7]
Density functional theory data (PBE-GGA) for crystalline K2SrAl at its relaxed geometry.

Geometry as CIF:
```
data_K2SrAl
_cell_length_a 4.2173
_cell_length_b 5.7881
_cell_length_c 7.5397
_cell_angle_alpha 90.00
_cell_angle_beta 90.00
_cell_angle_gamma 90.00
_space_group_name_H-M_alt 'P m m m'
_space_group_IT_number 47
loop_
_space_group_symop_operation_xyz
'x,y,z'
'-x,-y,-z'
'-x,-y,z'
'x,y,-z'
'x,-y,-z'
'-x,y,z'
'-x,y,-z'
'x,-y,z'
loop_
_atom_site_label
_atom_site_type_symbol
_atom_site_fract_x
_atom_site_fract_y
_atom_site_fract_z
K1 K 0.0000 0.0000 0.2175
Sr1 Sr 0.5000 0.5000 0.5000
Al1 Al 0.5000 0.5000 0.0000
```

Calculated values
Density (g/cm3): 1.740
Total moment (μB/f.u.): 0.0
ΔH_f (0 K) (meV per atom): 348
Total DFT energy (no corrections) (eV per atom): -1.557

[8]
Density functional theory data (PBE-GGA) for crystalline KSr2Al at its relaxed geometry.

Geometry as CIF:
```
data_KSr2Al
_cell_length_a 3.9803
_cell_length_b 5.6437
_cell_length_c 17.1677
_cell_angle_alpha 90.00
_cell_angle_beta 90.00
_cell_angle_gamma 90.00
_space_group_name_H-M_alt 'I m m 2'
_space_group_IT_number 44
loop_
_space_group_symop_operation_xyz
'x,y,z'
'-x,-y,z'
'-x,y,z'
'x,-y,z'
'x+1/2,y+1/2,z+1/2'
'-x+1/2,-y+1/2,z+1/2'
'-x+1/2,y+1/2,z+1/2'
'x+1/2,-y+1/2,z+1/2'
loop_
_atom_site_label
_atom_site_type_symbol
_atom_site_fract_x
_atom_site_fract_y
_atom_site_fract_z
K1 K 0.0000 0.0000 0.0000
Sr1 Sr 0.0000 0.0000 0.6658
Sr2 Sr 0.0000 0.5000 0.8283
Al1 Al 0.0000 0.5000 0.3189
```

Calculated values
Density (g/cm3): 2.078
Total moment (μB/f.u.): 0.0
ΔH_f (0 K) (meV per atom): 122
Total DFT energy (no corrections) (eV per atom): -1.929

[9]
Density functional theory data (PBE-GGA) for crystalline KSr2Al at its relaxed geometry.

Geometry as CIF:
```
data_KSr2Al
_cell_length_a 5.4473
_cell_length_b 5.4473
_cell_length_c 10.9966
_cell_angle_alpha 90.00
_cell_angle_beta 90.00
_cell_angle_gamma 90.00
_space_group_name_H-M_alt 'I -4 m 2'
_space_group_IT_number 119
_space_group_name_Hall 'I -4 -2'
loop_
_atom_site_label
_atom_site_type_symbol
_atom_site_fract_x
_atom_site_fract_y
_atom_site_fract_z
K1 K 0.0000 0.0000 0.0000
Sr1 Sr 0.0000 0.0000 0.5000
Sr2 Sr 0.0000 0.5000 0.7500
Al1 Al 0.0000 0.5000 0.2500
```

Calculated values
Density (g/cm3): 2.456
Total moment (μB/f.u.): 0.0
ΔH_f (0 K) (meV per atom): 235
Total DFT energy (no corrections) (eV per atom): -1.816

[10]
Density functional theory data (PBE-GGA) for crystalline KSrAl3 at its relaxed geometry.

Geometry as CIF:
```
data_KSrAl3
_cell_length_a 5.6636
_cell_length_b 5.6636
_cell_length_c 5.6636
_cell_angle_alpha 90.00
_cell_angle_beta 90.00
_cell_angle_gamma 90.00
_space_group_name_H-M_alt 'P m -3 m'
_space_group_IT_number 221
_space_group_name_Hall '-P 4 2 3'
loop_
_atom_site_label
_atom_site_type_symbol
_atom_site_fract_x
_atom_site_fract_y
_atom_site_fract_z
K1 K 0.0000 0.0000 0.0000
Sr1 Sr 0.5000 0.5000 0.5000
Al1 Al 0.0000 0.0000 0.5000
```

Calculated values
Density (g/cm3): 1.898
Total moment (μB/f.u.): 0.0
ΔH_f (0 K) (meV per atom): 996
Total DFT energy (no corrections) (eV per atom): -1.805
Energy relative to the lowest polymorph listed for this composition (eV/atom): 0.0527

[11]
Density functional theory data (PBE-GGA) for crystalline K2SrAl at its relaxed geometry.

Geometry as CIF:
```
data_K2SrAl
_cell_length_a 11.0895
_cell_length_b 11.0895
_cell_length_c 6.7429
_cell_angle_alpha 90.00
_cell_angle_beta 90.00
_cell_angle_gamma 90.00
_space_group_name_H-M_alt 'I -4 2 d'
_space_group_IT_number 122
_space_group_name_Hall 'I -4 2bw'
loop_
_atom_site_label
_atom_site_type_symbol
_atom_site_fract_x
_atom_site_fract_y
_atom_site_fract_z
K1 K 0.1716 0.2500 0.1250
Sr1 Sr 0.0000 0.0000 0.5000
Al1 Al 0.0000 0.0000 0.0000
```

Calculated values
Density (g/cm3): 1.544
Total moment (μB/f.u.): 0.8
ΔH_f (0 K) (meV per atom): 345
Total DFT energy (no corrections) (eV per atom): -1.559

[12]
Density functional theory data (PBE-GGA) for crystalline KSr2Al at its relaxed geometry.

Geometry as CIF:
```
data_KSr2Al
_cell_length_a 4.6185
_cell_length_b 4.5369
_cell_length_c 9.8500
_cell_angle_alpha 90.00
_cell_angle_beta 103.01
_cell_angle_gamma 90.00
_space_group_name_H-M_alt 'P 1 m 1'
_space_group_IT_number 6
loop_
_space_group_symop_operation_xyz
'x,y,z'
'x,-y,z'
loop_
_atom_site_label
_atom_site_type_symbol
_atom_site_fract_x
_atom_site_fract_y
_atom_site_fract_z
K1 K 0.0000 0.0000 0.0000
Sr1 Sr 0.3335 0.5000 0.6557
Sr2 Sr 0.7006 0.0000 0.3802
Al1 Al 0.1637 0.5000 0.3025
```

Calculated values
Density (g/cm3): 1.993
Total moment (μB/f.u.): 0.1
ΔH_f (0 K) (meV per atom): 135
Total DFT energy (no corrections) (eV per atom): -1.916

[13]
Density functional theory data (PBE-GGA) for crystalline K2Sr2Al at its relaxed geometry.

Geometry as CIF:
```
data_K2Sr2Al
_cell_length_a 8.7114
_cell_length_b 8.7114
_cell_length_c 7.2788
_cell_angle_alpha 90.00
_cell_angle_beta 90.00
_cell_angle_gamma 90.00
_space_group_name_H-M_alt 'P 4/m b m'
_space_group_IT_number 127
_space_group_name_Hall '-P 4 2ab'
loop_
_atom_site_label
_atom_site_type_symbol
_atom_site_fract_x
_atom_site_fract_y
_atom_site_fract_z
K1 K 0.1771 0.3229 0.0000
Sr1 Sr 0.1680 0.6680 0.5000
Al1 Al 0.0000 0.0000 0.5000
```

Calculated values
Density (g/cm3): 1.686
Total moment (μB/f.u.): 0.0
ΔH_f (0 K) (meV per atom): 224
Total DFT energy (no corrections) (eV per atom): -1.636

[14]
Density functional theory data (PBE-GGA) for crystalline KSrAlTe3 at its relaxed geometry.

Geometry as CIF:
```
data_KSrAlTe3
_cell_length_a 17.8406
_cell_length_b 5.5584
_cell_length_c 9.3692
_cell_angle_alpha 90.00
_cell_angle_beta 103.61
_cell_angle_gamma 90.00
_space_group_name_H-M_alt 'C 1 2/m 1'
_space_group_IT_number 12
loop_
_space_group_symop_operation_xyz
'x,y,z'
'-x,-y,-z'
'-x,y,-z'
'x,-y,z'
'x+1/2,y+1/2,z'
'-x+1/2,-y+1/2,-z'
'-x+1/2,y+1/2,-z'
'x+1/2,-y+1/2,z'
loop_
_atom_site_label
_atom_site_type_symbol
_atom_site_fract_x
_atom_site_fract_y
_atom_site_fract_z
K1 K 0.1535 0.0000 0.0636
Sr1 Sr 0.1427 0.0000 0.5600
Al1 Al 0.0125 0.5000 0.2637
Te1 Te 0.0021 0.0000 0.7451
Te2 Te 0.1401 0.5000 0.7777
Te3 Te 0.1640 0.5000 0.3330
```

Calculated values
Density (g/cm3): 3.946
Total moment (μB/f.u.): 0.0
Total DFT energy (no corrections) (eV per atom): -3.498
Raw formation energy (eV/f.u.): -5.0